# 1
Sc2PPd after structural relaxation, computed with GGA-PBE.

a b c (Å): 7.016 7.016 6.468
angles (deg): 90.00 90.00 90.00
Space group I-42d (No. 122)
Asymmetric unit:
Sc  0.239  0.250  0.125 x8
P  0.000  0.000  0.000 x4
Pd  0.000  0.000  0.500 x4

Calculated values
- Fermi-level density of states: 1.87 states/eV/f.u.
- Final energy: -103.65 eV/cell
- Calculated formation energy: -15.26 kcal/mol of atoms
- Size of the total moment: 0.0 μB/cell

# 2
Sc3P3Pd after structural relaxation, computed with GGA-PBE.

a b c (Å): 7.8508 7.8508 5.2477
angles (deg): 90.00 90.00 120.00
Space group P6_3/m (No. 176)
Asymmetric unit:
Sc  0.0461  0.3586  0.2500 x6
P  0.0412  0.3501  0.7500 x6
Pd  0.3333  0.6667  0.7500 x2

Calculated values
- Fermi-level density of states: 0.53 states/eV/f.u.
- Final energy: -97.70 eV/cell
- Calculated formation energy: -27.78 kcal/mol of atoms
- Size of the total moment: 0.0 μB/cell